Record 1
Here is a relaxed Sr3DyAg4 crystal from Alexandria. Energies are from PBE.

Cell lengths 3.826, 3.826, 15.644 Å; angles 90.00, 90.00, 90.00 degrees
Fractional positions:
Sr 0.000 0.000 0.000
Sr 0.000 0.000 0.259
Sr 0.000 0.000 0.741
Dy 0.000 0.000 0.500
Ag 0.500 0.500 0.129
Ag 0.500 0.500 0.399
Ag 0.500 0.500 0.601
Ag 0.500 0.500 0.871

Summary:
Its total energy is -23.21 eV for the cell shown. The density of states at the Fermi level comes out at 6.92 states/eV per cell. For the formation energy, the calculation gives -0.269 eV per atom. The space group is No. 123.

=====

Record 2
Here is a relaxed SrDyAg crystal from Alexandria. Energies are from PBE.

Cell lengths 5.117, 5.117, 4.401 Å; angles 90.00, 90.00, 120.00 degrees
Fractional positions:
Sr 0.000 0.000 0.000
Dy 0.333 0.667 0.500
Ag 0.667 0.333 0.497

Summary:
Its total energy is -8.96 eV for the cell shown. The density of states at the Fermi level comes out at 2.17 states/eV per cell. For the distance to the lowest polymorph of the same formula, the calculation gives 0.54 eV per formula unit. For the formation energy, the calculation gives 0.059 eV per atom. The space group is No. 156.

=====

Record 3
Here is a relaxed SrDyAgTe3 crystal from Alexandria. Energies are from PBE.

Cell lengths 8.955, 4.426, 10.042 Å; angles 90.00, 104.10, 90.00 degrees
Fractional positions:
Sr 0.195 0.250 0.252
Sr 0.805 0.750 0.748
Dy 0.323 0.750 0.833
Dy 0.677 0.250 0.167
Ag 0.083 0.250 0.585
Ag 0.917 0.750 0.415
Te 0.094 0.250 0.871
Te 0.259 0.750 0.519
Te 0.433 0.750 0.155
Te 0.567 0.250 0.845
Te 0.741 0.250 0.481
Te 0.906 0.750 0.129

Summary:
Its total energy is -51.67 eV for the cell shown. The calculation puts the formation energy from raw total energies at -1.213 eV/atom. The space group is No. 11.

=====

Record 4
Here is a relaxed Sr3Dy2AgTe6 crystal from Alexandria. Energies are from PBE.

Cell lengths 7.893, 7.893, 7.859 Å; angles 99.61, 99.61, 119.98 degrees
Fractional positions:
Sr 0.000 0.000 0.000
Sr 0.336 0.664 0.000
Sr 0.664 0.336 0.000
Dy 0.168 0.832 0.500
Dy 0.832 0.168 0.500
Ag 0.500 0.500 0.500
Te 0.088 0.424 0.272
Te 0.240 0.240 0.725
Te 0.424 0.088 0.272
Te 0.576 0.912 0.728
Te 0.760 0.760 0.275
Te 0.912 0.576 0.728

Summary:
Its total energy is -52.01 eV for the cell shown. The calculation puts the formation energy from raw total energies at -1.338 eV/atom. The density of states at the Fermi level comes out at 4.02 states/eV per cell. The space group is No. 12.

=====

Record 5
Here is a relaxed SrDy2Tl2Ag2 crystal from Alexandria. Energies are from PBE.

Cell lengths 9.755, 9.755, 9.755 Å; angles 29.58, 29.58, 29.58 degrees
Fractional positions:
Sr 0.000 0.000 0.000
Dy 0.135 0.135 0.135
Dy 0.865 0.865 0.865
Tl 0.255 0.255 0.255
Tl 0.745 0.745 0.745
Ag 0.444 0.444 0.444
Ag 0.556 0.556 0.556

Summary:
Its total energy is -22.80 eV for the cell shown. The density of states at the Fermi level comes out at 6.17 states/eV per cell. For the formation energy, the calculation gives -0.211 eV per atom. The space group is No. 166.

=====

Record 6
Here is a relaxed SrDyTlAg crystal from Alexandria. Energies are from PBE.

Cell lengths 5.445, 5.445, 5.445 Å; angles 60.00, 60.00, 60.00 degrees
Fractional positions:
Sr 0.000 0.000 0.000
Dy 0.500 0.500 0.500
Tl 0.750 0.750 0.750
Ag 0.250 0.250 0.250

Summary:
Its total energy is -12.59 eV for the cell shown. The density of states at the Fermi level comes out at 4.74 states/eV per cell. For the formation energy, the calculation gives -0.272 eV per atom. The space group is No. 216.

=====

Record 7
Here is a relaxed SrDyZnAg crystal from Alexandria. Energies are from PBE.

Cell lengths 5.289, 5.289, 5.289 Å; angles 60.00, 60.00, 60.00 degrees
Fractional positions:
Sr 0.000 0.000 0.000
Dy 0.500 0.500 0.500
Zn 0.750 0.750 0.750
Ag 0.250 0.250 0.250

Summary:
Its total energy is -11.18 eV for the cell shown. The density of states at the Fermi level comes out at 2.51 states/eV per cell. For the formation energy, the calculation gives -0.194 eV per atom. The space group is No. 216.

=====

Record 8
Here is a relaxed TbDyAg crystal from Alexandria. Energies are from PBE.

Cell lengths 6.993, 5.088, 9.120 Å; angles 90.00, 90.00, 90.00 degrees
Fractional positions:
Tb 0.015 0.250 0.186
Tb 0.485 0.750 0.686
Tb 0.515 0.250 0.314
Tb 0.985 0.750 0.814
Dy 0.154 0.250 0.579
Dy 0.346 0.750 0.079
Dy 0.654 0.250 0.921
Dy 0.846 0.750 0.421
Ag 0.237 0.250 0.900
Ag 0.263 0.750 0.400
Ag 0.737 0.250 0.600
Ag 0.763 0.750 0.100

Summary:
Its total energy is -50.68 eV for the cell shown. The density of states at the Fermi level comes out at 13.38 states/eV per cell. For the distance to the lowest polymorph of the same formula, the calculation gives 0.00 eV per formula unit. For the formation energy, the calculation gives -0.196 eV per atom. The space group is No. 62.

=====

Record 9
Here is a relaxed Tb2DyAg2 crystal from Alexandria. Energies are from PBE.

Cell lengths 13.566, 13.566, 5.254 Å; angles 90.00, 90.00, 164.53 degrees
Fractional positions:
Tb 0.048 0.952 0.750
Tb 0.235 0.765 0.750
Tb 0.765 0.235 0.250
Tb 0.952 0.048 0.250
Dy 0.145 0.855 0.250
Dy 0.855 0.145 0.750
Ag 0.358 0.642 0.250
Ag 0.452 0.548 0.750
Ag 0.548 0.452 0.250
Ag 0.642 0.358 0.750

Summary:
Its total energy is -41.47 eV for the cell shown. The density of states at the Fermi level comes out at 7.88 states/eV per cell. For the distance to the lowest polymorph of the same formula, the calculation gives 0.00 eV per formula unit. For the formation energy, the calculation gives -0.234 eV per atom. The space group is No. 63.

=====

Record 10
Here is a relaxed TbDyAg4 crystal from Alexandria. Energies are from PBE.

Cell lengths 3.398, 4.784, 8.246 Å; angles 90.00, 90.00, 90.00 degrees
Fractional positions:
Tb 0.000 0.000 0.000
Dy 0.000 0.500 0.500
Ag 0.500 0.000 0.333
Ag 0.500 0.000 0.667
Ag 0.500 0.500 0.167
Ag 0.500 0.500 0.833

Summary:
Its total energy is -22.15 eV for the cell shown. The density of states at the Fermi level comes out at 4.95 states/eV per cell. For the distance to the lowest polymorph of the same formula, the calculation gives 0.35 eV per formula unit. For the formation energy, the calculation gives -0.252 eV per atom. The space group is No. 47.

=====

Record 11
Here is a relaxed TbDy3Ag crystal from Alexandria. Energies are from PBE.

Cell lengths 6.693, 6.693, 7.734 Å; angles 107.66, 107.66, 67.86 degrees
Fractional positions:
Tb 0.058 0.058 0.241
Tb 0.942 0.942 0.759
Dy 0.087 0.586 0.350
Dy 0.414 0.913 0.650
Dy 0.441 0.441 0.758
Dy 0.559 0.559 0.242
Dy 0.586 0.087 0.350
Dy 0.913 0.414 0.650
Ag 0.252 0.252 0.000
Ag 0.748 0.748 0.000

Summary:
Its total energy is -42.59 eV for the cell shown. The density of states at the Fermi level comes out at 10.19 states/eV per cell. For the formation energy, the calculation gives -0.001 eV per atom. The space group is No. 12.

=====

Record 12
Here is a relaxed Tb3Dy4Ag4 crystal from Alexandria. Energies are from PBE.

Cell lengths 9.121, 9.121, 9.121 Å; angles 147.87, 131.71, 59.19 degrees
Fractional positions:
Tb 0.000 0.000 0.000
Tb 0.396 0.896 0.500
Tb 0.604 0.104 0.500
Dy 0.048 0.324 0.723
Dy 0.399 0.676 0.723
Dy 0.601 0.324 0.277
Dy 0.952 0.676 0.277
Ag 0.194 0.194 0.000
Ag 0.311 0.500 0.811
Ag 0.689 0.500 0.189
Ag 0.806 0.806 0.000

Summary:
Its total energy is -44.84 eV for the cell shown. The density of states at the Fermi level comes out at 10.09 states/eV per cell. For the formation energy, the calculation gives -0.104 eV per atom. The space group is No. 71.